No. 1
! MgP2NO PBE-GGA optimized geometry; values from VASP
&SYSTEM
  ibrav = 0, nat = 5, ntyp = 4
/
ATOMIC_SPECIES
N 14.01 N.upf
Mg 24.30 Mg.upf
P 30.97 P.upf
O 16.00 O.upf
CELL_PARAMETERS angstrom
3.540 0.000 0.000
0.000 3.540 0.000
0.000 0.000 6.211
ATOMIC_POSITIONS angstrom
N 0.000 0.000 0.000
Mg 1.770 1.770 3.105
P 0.000 1.770 0.000
P 1.770 0.000 0.000
O 0.000 0.000 3.105
! - size of the total moment (μB/f.u.) = 0.0
! - raw total energy (eV per atom) = -4.62
! - ΔE_f (raw) (eV/f.u.) = 2.62
! - excess energy over the best structure of this formula in the dataset (kcal/mol of atoms) = 0.00
! - N(E_F) (states/eV/atom) = 0.386
! - crystal system = tetragonal

---

No. 2
! HoMg2GaPd2 PBE-GGA optimized geometry; values from VASP
&SYSTEM
  ibrav = 0, nat = 6, ntyp = 4
/
ATOMIC_SPECIES
Mg 24.30 Mg.upf
Ga 69.72 Ga.upf
Pd 106.42 Pd.upf
Ho 164.93 Ho.upf
CELL_PARAMETERS angstrom
5.130 0.000 0.000
0.000 5.130 0.000
-2.565 -2.565 5.210
ATOMIC_POSITIONS angstrom
Mg 2.565 0.000 2.605
Mg 0.000 2.565 2.605
Ga 0.000 0.000 0.000
Pd 0.000 0.000 2.415
Pd 2.565 2.565 2.795
Ho 2.565 2.565 0.000
! - size of the total moment (μB/f.u.) = 0.0
! - raw total energy (eV per atom) = -3.85
! - N(E_F) (states/eV/atom) = 0.647
! - ΔH_f (0 K) (eV/f.u.) = -1.89
! - crystal system = tetragonal

---

No. 3
! SrLa3 PBE-GGA optimized geometry; values from VASP
&SYSTEM
  ibrav = 0, nat = 8, ntyp = 2
/
ATOMIC_SPECIES
La 138.91 La.upf
Sr 87.62 Sr.upf
CELL_PARAMETERS angstrom
6.907 0.000 0.000
0.000 6.907 0.000
0.000 0.000 6.907
ATOMIC_POSITIONS angstrom
La 1.727 3.454 0.000
La 3.454 0.000 5.180
La 3.454 0.000 1.727
La 0.000 5.180 3.454
La 0.000 1.727 3.454
La 5.180 3.454 0.000
Sr 0.000 0.000 0.000
Sr 3.454 3.454 3.454
! - size of the total moment (μB/f.u.) = 2.4
! - raw total energy (eV per atom) = -3.84
! - N(E_F) (states/eV/atom) = 2.240
! - ΔH_f (0 K) (eV/f.u.) = 1.10
! - crystal system = cubic

---

No. 4
! KSbPt2 PBE-GGA optimized geometry; values from VASP
&SYSTEM
  ibrav = 0, nat = 4, ntyp = 3
/
ATOMIC_SPECIES
Pt 195.08 Pt.upf
K 39.10 K.upf
Sb 121.76 Sb.upf
CELL_PARAMETERS angstrom
-2.190 -0.565 4.114
-1.951 -4.016 1.451
3.987 -3.038 4.293
ATOMIC_POSITIONS angstrom
Pt -3.170 -4.896 6.060
Pt -0.328 -1.786 2.286
K 0.018 -5.727 7.423
Sb -0.893 -3.600 4.585
! - size of the total moment (μB/f.u.) = 0.0
! - raw total energy (eV per atom) = -4.63
! - ΔE_f (raw) (eV/f.u.) = -1.22
! - excess energy over the best structure of this formula in the dataset (kcal/mol of atoms) = 0.79
! - N(E_F) (states/eV/atom) = 0.823
! - crystal system = monoclinic

---

No. 5
! Zr4Bi2Se PBE-GGA optimized geometry; values from VASP
&SYSTEM
  ibrav = 0, nat = 7, ntyp = 3
/
ATOMIC_SPECIES
Zr 91.22 Zr.upf
Bi 208.98 Bi.upf
Se 78.96 Se.upf
CELL_PARAMETERS angstrom
-0.342 -4.836 0.665
1.635 -0.741 -4.552
7.943 -2.942 0.701
ATOMIC_POSITIONS angstrom
Zr 5.457 -2.889 -0.200
Zr -0.171 -2.418 0.332
Zr 0.817 -0.371 -2.276
Zr 3.779 -5.629 -2.986
Bi 6.548 -5.687 -1.982
Bi 2.687 -2.831 -1.204
Se 0.000 0.000 0.000
! - size of the total moment (μB/f.u.) = 0.0
! - raw total energy (eV per atom) = -6.59
! - ΔE_f (raw) (eV/f.u.) = -0.70
! - N(E_F) (states/eV/atom) = 1.156
! - crystal system = tetragonal

---

No. 6
! Mg2FeAs2 PBE-GGA optimized geometry; values from VASP
&SYSTEM
  ibrav = 0, nat = 10, ntyp = 3
/
ATOMIC_SPECIES
As 74.92 As.upf
Mg 24.30 Mg.upf
Fe 55.84 Fe.upf
CELL_PARAMETERS angstrom
6.113 0.000 0.000
0.000 6.113 0.000
0.000 0.000 4.576
ATOMIC_POSITIONS angstrom
As 0.895 2.161 0.000
As 3.951 0.895 0.000
As 5.218 3.951 0.000
As 2.161 5.218 0.000
Mg 5.007 1.950 2.288
Mg 4.162 5.007 2.288
Mg 1.950 1.106 2.288
Mg 1.106 4.162 2.288
Fe 0.000 0.000 0.000
Fe 3.056 3.056 0.000
! - size of the total moment (μB/f.u.) = 0.0
! - raw total energy (eV per atom) = -4.40
! - N(E_F) (states/eV/atom) = 0.314
! - ΔH_f (0 K) (eV/f.u.) = -1.03
! - crystal system = tetragonal

---

No. 7
! HfC3N PBE-GGA optimized geometry; values from VASP
&SYSTEM
  ibrav = 0, nat = 5, ntyp = 3
/
ATOMIC_SPECIES
C 12.01 C.upf
Hf 178.49 Hf.upf
N 14.01 N.upf
CELL_PARAMETERS angstrom
3.553 0.000 0.000
0.000 3.553 0.000
0.000 0.000 3.553
ATOMIC_POSITIONS angstrom
C 1.776 0.000 0.000
C 0.000 0.000 1.776
C 0.000 1.776 0.000
Hf 1.776 1.776 1.776
N 0.000 0.000 0.000
! - size of the total moment (μB/f.u.) = 0.0
! - raw total energy (eV per atom) = -6.98
! - ΔE_f (raw) (eV/f.u.) = 11.05
! - excess energy over the best structure of this formula in the dataset (kcal/mol of atoms) = 0.00
! - N(E_F) (states/eV/atom) = 0.613
! - crystal system = cubic

---

No. 8
! RbY2ReSi PBE-GGA optimized geometry; values from VASP
&SYSTEM
  ibrav = 0, nat = 5, ntyp = 4
/
ATOMIC_SPECIES
Rb 85.47 Rb.upf
Y 88.91 Y.upf
Si 28.09 Si.upf
Re 186.21 Re.upf
CELL_PARAMETERS angstrom
-3.466 3.818 1.529
1.346 -0.881 5.252
3.896 3.689 -0.379
ATOMIC_POSITIONS angstrom
Rb 0.673 -0.441 2.626
Y -1.733 1.909 0.764
Y 1.948 1.844 -0.190
Si 0.888 3.313 3.201
Re 0.000 0.000 0.000
! - size of the total moment (μB/f.u.) = 0.0
! - raw total energy (eV per atom) = -5.27
! - ΔE_f (raw) (eV/f.u.) = 5.43
! - N(E_F) (states/eV/atom) = 1.141
! - crystal system = tetragonal

---

No. 9
! Ac4S4Cl PBE-GGA optimized geometry; values from VASP
&SYSTEM
  ibrav = 0, nat = 9, ntyp = 3
/
ATOMIC_SPECIES
S 32.06 S.upf
Ac 227.00 Ac.upf
Cl 35.45 Cl.upf
CELL_PARAMETERS angstrom
6.882 0.000 0.000
0.000 6.882 0.000
-3.441 -3.441 6.849
ATOMIC_POSITIONS angstrom
S 3.441 3.441 3.406
S 3.441 0.000 0.000
S 0.000 3.441 0.000
S 0.000 0.000 3.443
Ac -1.687 -1.687 5.128
Ac 5.128 1.753 1.721
Ac 1.687 1.687 5.128
Ac 1.753 5.128 1.721
Cl 0.000 0.000 0.000
! - size of the total moment (μB/f.u.) = 2.8
! - raw total energy (eV per atom) = -5.66
! - ΔE_f (raw) (eV/f.u.) = -16.14
! - N(E_F) (states/eV/atom) = 0.259
! - crystal system = tetragonal

---

No. 10
! LiPa2Se4 PBE-GGA optimized geometry; values from VASP
&SYSTEM
  ibrav = 0, nat = 7, ntyp = 3
/
ATOMIC_SPECIES
Pa 231.04 Pa.upf
Li 6.94 Li.upf
Se 78.96 Se.upf
CELL_PARAMETERS angstrom
4.018 0.000 0.000
0.000 7.068 -0.063
-2.009 -3.511 6.836
ATOMIC_POSITIONS angstrom
Pa 0.000 0.031 3.524
Pa 2.009 3.526 3.249
Li 0.000 0.000 0.000
Se 2.009 -1.277 5.101
Se 0.000 2.471 5.068
Se 2.009 1.086 1.705
Se 0.000 4.834 1.672
! - size of the total moment (μB/f.u.) = 3.0
! - raw total energy (eV per atom) = -6.26
! - ΔE_f (raw) (eV/f.u.) = -8.97
! - excess energy over the best structure of this formula in the dataset (kcal/mol of atoms) = 1.12
! - N(E_F) (states/eV/atom) = 1.274
! - crystal system = monoclinic

---

No. 11
! Tm2Al2In PBE-GGA optimized geometry; values from VASP
&SYSTEM
  ibrav = 0, nat = 20, ntyp = 3
/
ATOMIC_SPECIES
In 114.82 In.upf
Al 26.98 Al.upf
Tm 168.93 Tm.upf
CELL_PARAMETERS angstrom
-1.793 -5.221 4.541
6.304 -3.167 -1.152
3.600 4.688 6.811
ATOMIC_POSITIONS angstrom
In 0.901 1.173 1.704
In 3.155 -3.023 3.396
In 2.699 3.515 5.107
In 4.956 -0.677 6.804
Al 2.381 -0.169 7.813
Al 5.096 -3.026 8.344
Al 3.296 -5.370 4.939
Al 3.015 -0.675 1.856
Al 0.581 -2.513 4.408
Al 5.730 -3.531 2.387
Al 4.814 1.669 5.262
Al 7.529 -1.187 5.793
Tm 3.916 -3.002 -0.003
Tm 2.396 -3.042 6.798
Tm 2.273 0.080 4.714
Tm 0.473 -2.263 1.308
Tm 4.038 -6.126 2.082
Tm 0.596 -5.386 3.392
Tm 5.715 -0.658 3.403
Tm 5.838 -3.781 5.487
! - size of the total moment (μB/f.u.) = 0.0
! - raw total energy (eV per atom) = -4.27
! - excess energy over the best structure of this formula in the dataset (kcal/mol of atoms) = 0.35
! - N(E_F) (states/eV/atom) = 0.437
! - ΔH_f (0 K) (eV/f.u.) = -2.20
! - crystal system = tetragonal

---

No. 12
! Mn2InCl PBE-GGA optimized geometry; values from VASP
&SYSTEM
  ibrav = 0, nat = 4, ntyp = 3
/
ATOMIC_SPECIES
Cl 35.45 Cl.upf
Mn 54.94 Mn.upf
In 114.82 In.upf
CELL_PARAMETERS angstrom
-2.567 -2.936 3.782
-2.290 -4.259 -2.477
4.604 2.506 1.427
ATOMIC_POSITIONS angstrom
Cl -0.196 -2.014 2.931
Mn -2.514 -3.724 0.675
Mn -4.772 -7.068 1.282
In -0.057 -2.675 -0.199
! - size of the total moment (μB/f.u.) = 7.5
! - raw total energy (eV per atom) = -5.50
! - ΔE_f (raw) (eV/f.u.) = 0.91
! - excess energy over the best structure of this formula in the dataset (kcal/mol of atoms) = 4.43
! - N(E_F) (states/eV/atom) = 0.766
! - crystal system = orthorhombic

---

Question: raw total energy of number 12 (Mn2InCl)?
Answer: -5.50 eV per atom

---

Question: raw total energy of number 6 (Mg2FeAs2)?
Answer: -4.40 eV per atom